No. 1
Computed, not measured: an optimized crystal structure of BaCeHg2 at the PBE-GGA level of DFT.

Formation energy (eV per atom): -0.385
DOS(E_F) (states/eV per atom): 2.4254

Unit cell a=3.9765 b=3.9765 c=8.1684 alpha=90.00 beta=90.00 gamma=90.00
Positions (direct):
Hg  0.0000  0.0000  0.2136
Ce  0.5000  0.5000  0.0000
Hg  0.0000  0.0000  0.7864
Ba  0.5000  0.5000  0.5000

---

No. 2
Computed, not measured: an optimized crystal structure of NaPSCl2 at the PBE-GGA level of DFT.

E_form (uncorrected) (eV/f.u.): 3.034
DOS(E_F) (states/eV per atom): 1.7226

Unit cell a=4.8085 b=4.8085 c=5.2655 alpha=90.00 beta=90.00 gamma=90.00
Positions (direct):
Cl  0.5000  0.0000  0.0000
Cl  0.0000  0.5000  0.0000
S  0.0000  0.0000  0.5000
P  0.5000  0.5000  0.5000
Na  0.0000  0.0000  0.0000

---

No. 3
Computed, not measured: an optimized crystal structure of Ga3Os at the PBE-GGA level of DFT.

Formation energy (eV per atom): -0.027
DOS(E_F) (states/eV per atom): 0.5981

Unit cell a=3.2242 b=5.7729 c=4.8964 alpha=126.12 beta=109.22 gamma=90.00
Positions (direct):
Ga  0.5000  0.4265  0.0000
Ga  0.3107  0.6363  0.6213
Ga  0.6893  0.0150  0.3787
Os  0.0000  0.0889  0.0000

---

No. 4
Computed, not measured: an optimized crystal structure of AcTm3 at the PBE-GGA level of DFT.

Formation energy (eV per atom): 0.062
DOS(E_F) (states/eV per atom): 1.4908

Unit cell a=3.7269 b=6.2667 c=6.8110 alpha=117.39 beta=105.88 gamma=90.00
Positions (direct):
Tm  0.2435  0.5846  0.4869
Tm  0.5000  0.4964  0.0000
Ac  0.0000  0.9878  0.0000
Tm  0.7565  0.0977  0.5131

---

No. 5
Computed, not measured: an optimized crystal structure of Re3Ir at the PBE-GGA level of DFT.

Formation energy (eV per atom): -0.062
DOS(E_F) (states/eV per atom): 0.7403

Unit cell a=4.7925 b=4.7925 c=2.7404 alpha=90.00 beta=90.00 gamma=109.65
Positions (direct):
Re  0.5000  0.0000  0.5000
Re  0.0000  0.5000  0.5000
Ir  0.0000  0.0000  0.0000
Re  0.5000  0.5000  0.0000

---

No. 6
Computed, not measured: an optimized crystal structure of CoRh2Cl at the PBE-GGA level of DFT.

E_form (uncorrected) (eV/f.u.): 2.699
DOS(E_F) (states/eV per atom): 1.1708

Unit cell a=4.3315 b=4.3315 c=4.3315 alpha=60.00 beta=60.00 gamma=60.00
Positions (direct):
Rh  0.2500  0.2500  0.2500
Cl  0.0000  0.0000  0.0000
Co  0.5000  0.5000  0.5000
Rh  0.7500  0.7500  0.7500

---

No. 7
Computed, not measured: an optimized crystal structure of NdSm3Th2N6 at the PBE-GGA level of DFT.

E_form (uncorrected) (eV/f.u.): -18.389
DOS(E_F) (states/eV per atom): 0.2248

Unit cell a=3.6338 b=7.2444 c=8.0926 alpha=102.78 beta=102.97 gamma=90.00
Positions (direct):
Sm  0.5000  0.5000  0.0000
N  0.6684  0.5778  0.3369
Nd  0.5000  0.0000  0.0000
Sm  0.8349  0.1653  0.6699
N  0.0034  0.2558  0.0067
N  0.9966  0.7442  0.9933
Sm  0.1651  0.8347  0.3301
Th  0.1654  0.3300  0.3308
N  0.3319  0.9097  0.6638
N  0.3316  0.4222  0.6631
Th  0.8346  0.6700  0.6692
N  0.6681  0.0903  0.3362

---

No. 8
Computed, not measured: an optimized crystal structure of Zn2AsRh at the PBE-GGA level of DFT.

Formation energy (eV per atom): -0.033
DOS(E_F) (states/eV per atom): 0.4578

Unit cell a=8.4562 b=8.4562 c=8.4562 alpha=20.32 beta=20.32 gamma=20.32
Positions (direct):
As  0.2500  0.2500  0.2500
Zn  0.4942  0.4942  0.4942
Zn  0.0058  0.0058  0.0058
Rh  0.7500  0.7500  0.7500

---

No. 9
Computed, not measured: an optimized crystal structure of Np2TiMnS5 at the PBE-GGA level of DFT.

E_form (uncorrected) (eV/f.u.): -10.793
DOS(E_F) (states/eV per atom): 2.1219

Unit cell a=3.6399 b=8.0927 c=11.3928 alpha=90.00 beta=90.00 gamma=103.00
Positions (direct):
S  0.4947  0.9895  0.2549
Mn  0.5659  0.1318  0.9301
S  0.6894  0.3787  0.1747
Np  0.8681  0.7362  0.1962
S  0.3106  0.6213  0.6747
S  0.7001  0.4002  0.8648
Np  0.1098  0.2197  0.3419
S  0.6599  0.3199  0.5169
Mn  0.4341  0.8682  0.4301
S  0.9815  0.9630  0.5252
Np  0.8902  0.7803  0.8419
S  0.0185  0.0370  0.0252
S  0.2999  0.5998  0.3648
Ti  0.1789  0.3579  0.0192
Ti  0.8211  0.6421  0.5192
Np  0.1319  0.2638  0.6962
S  0.5053  0.0105  0.7549
S  0.3401  0.6801  0.0169

---

No. 10
Computed, not measured: an optimized crystal structure of LaNd4Er3S8 at the PBE-GGA level of DFT.

E_form (uncorrected) (eV/f.u.): -32.158
DOS(E_F) (states/eV per atom): 0.4561

Unit cell a=7.9793 b=8.0505 c=7.9795 alpha=119.71 beta=120.00 gamma=90.00
Positions (direct):
S  0.2655  0.2630  0.0143
Er  0.5000  0.5000  0.0000
S  0.2513  0.7369  0.5025
Er  0.5000  0.5000  0.5000
S  0.2568  0.2703  0.5136
S  0.7487  0.2631  0.4975
Nd  0.5000  0.0000  0.5000
S  0.7345  0.7370  0.9857
S  0.7487  0.2630  0.0143
Nd  0.5000  0.0000  0.0000
S  0.2513  0.7370  0.9857
La  0.0000  0.5000  0.0000
Er  0.0000  0.5000  0.5000
Nd  0.0000  0.0000  0.5000
S  0.7432  0.7297  0.4864
Nd  0.0000  0.0000  0.0000

---

No. 11
Computed, not measured: an optimized crystal structure of AcLa4S7 at the PBE-GGA level of DFT.

E_form (uncorrected) (eV/f.u.): -25.840
DOS(E_F) (states/eV per atom): 0.1572

Unit cell a=4.0775 b=7.2384 c=12.1426 alpha=104.63 beta=90.00 gamma=106.36
Positions (direct):
S  0.0492  0.0984  0.7907
S  0.9526  0.9052  0.2140
La  0.0010  0.0020  0.0023
S  0.6588  0.3175  0.0509
La  0.3009  0.6017  0.1868
La  0.7001  0.4003  0.8162
Ac  0.8884  0.7768  0.5806
S  0.2550  0.5100  0.6487
S  0.3432  0.6865  0.9506
La  0.1115  0.2230  0.4161
S  0.5024  0.0048  0.4951
S  0.7369  0.4738  0.3480

---

No. 12
Computed, not measured: an optimized crystal structure of InRu2Rh at the PBE-GGA level of DFT.

Formation energy (eV per atom): 0.141
DOS(E_F) (states/eV per atom): 1.3276

Unit cell a=4.9010 b=4.9010 c=4.9010 alpha=133.05 beta=133.05 gamma=68.57
Positions (direct):
Ru  0.0000  0.0000  0.0000
In  0.2500  0.7500  0.5000
Ru  0.5000  0.5000  0.0000
Rh  0.7500  0.2500  0.5000

---

no.,ρ (g cm⁻³),M_tot (μB/f.u.)
1,8.724,1.0
2,2.140,0.0
3,9.866,0.0
4,9.068,0.0
5,21.033,0.0
6,8.675,4.0
7,9.391,0.0
8,8.034,0.0
9,7.486,2.2
10,6.724,0.0
11,5.041,0.0
12,11.295,0.0